Compound: HoThZnHg
Source: Alexandria
Functional: PBE
Structure: optimized geometry

The space group is F-43m (No. 216) and the conventional cell measures 7.4250, 7.4250 and 7.4250 Å, with angles of 90.00, 90.00 and 90.00 degrees. Symmetry generates all atoms from Ho at (0.0000, 0.0000, 0.0000), Th at (0.0000, 0.0000, 0.5000), Zn at (0.2500, 0.2500, 0.2500) and Hg at (0.2500, 0.2500, 0.7500).


Compound: Ho2TiHg
Source: Alexandria
Functional: PBE
Structure: optimized geometry

The space group is R-3m (No. 166, hexagonal axes) and the conventional cell measures 3.4171, 3.4171 and 29.9899 Å, with angles of 90.00, 90.00 and 120.00 degrees. Symmetry generates all atoms from Ho at (0.0000, 0.0000, 0.2485), Ti at (0.0000, 0.0000, 0.5000) and Hg at (0.0000, 0.0000, 0.0000).

The distance to the lowest polymorph of the same formula comes out at 140 meV per atom.


Compound: Ho2TiHg
Source: Alexandria
Functional: PBE
Structure: optimized geometry

The space group is P4/mmm (No. 123) and the conventional cell measures 5.0383, 5.0383 and 3.8967 Å, with angles of 90.00, 90.00 and 90.00 degrees. Symmetry generates all atoms from Ho at (0.0000, 0.5000, 0.0000), Ti at (0.0000, 0.0000, 0.5000) and Hg at (0.5000, 0.5000, 0.5000).

The distance to the lowest polymorph of the same formula comes out at 54 meV per atom.


no.,energy of formation (eV per atom),calculated volume (Å³ per cell)
1,-0.250,409.4
2,0.021,303.3
3,-0.064,98.9